DFT (PBE) results for an optimized crystal structure of TcHgBr2.

Lattice parameters (Å, degrees): 7.4485 7.4485 7.4485 90.00 90.00 90.00
With the nearest neighbours (Å) after each atom.
Space group Fm-3m (No. 225)
One atom of each set of equivalent atoms:
Tc  0.0000  0.0000  0.0000 [4 per cell]  8 Br 3.23
Hg  0.0000  0.0000  0.5000 [4 per cell]  8 Br 3.23
Br  0.2500  0.2500  0.2500 [8 per cell]  4 Hg 3.23, 4 Tc 3.23

---

DFT (PBE) results for an optimized crystal structure of TcHgBr2.

Lattice parameters (Å, degrees): 7.8371 7.8371 8.7724 90.00 90.00 90.00
With the nearest neighbours (Å) after each atom.
Space group I-42d (No. 122)
One atom of each set of equivalent atoms:
Tc  0.0000  0.0000  0.0000 [4 per cell]  4 Br 2.43
Hg  0.0000  0.0000  0.5000 [4 per cell]  8 Br 3.74-3.94
Br  0.1187  0.2500  0.1250 [8 per cell]  2 Tc 2.43

---

DFT (PBE) results for an optimized crystal structure of TcHgBr.

Lattice parameters (Å, degrees): 6.6441 6.6441 6.6441 90.00 90.00 90.00
With the nearest neighbours (Å) after each atom.
Space group F-43m (No. 216)
One atom of each set of equivalent atoms:
Tc  0.0000  0.0000  0.0000 [4 per cell]  4 Hg 2.88, 4 Br 2.88
Hg  0.2500  0.2500  0.2500 [4 per cell]  4 Tc 2.88
Br  0.2500  0.2500  0.7500 [4 per cell]  4 Tc 2.88

---

DFT (PBE) results for an optimized crystal structure of TcHgBr2.

Lattice parameters (Å, degrees): 7.1962 8.3421 3.7085 90.00 110.00 90.00
With the nearest neighbours (Å) after each atom.
Space group C2/m (No. 12)
One atom of each set of equivalent atoms:
Tc  0.0000  0.0000  0.0000 [2 per cell]  4 Br 2.96
Hg  0.0000  0.5000  0.0000 [2 per cell]  4 Br 2.96
Br  0.2500  0.2500  0.5000 [4 per cell]  2 Hg 2.96, 2 Tc 2.96

---

DFT (PBE) results for an optimized crystal structure of TcHg2Br.

Lattice parameters (Å, degrees): 3.0340 4.4838 13.7828 90.00 90.00 90.00
With the nearest neighbours (Å) after each atom.
Space group Immm (No. 71)
One atom of each set of equivalent atoms:
Tc  0.0000  0.0000  0.0000 [2 per cell]  4 Br 2.71, 4 Hg 2.98
Hg  0.0000  0.5000  0.3140 [4 per cell]  2 Tc 2.98, 6 Hg 3.03-3.23
Br  0.0000  0.0000  0.5000 [2 per cell]  4 Tc 2.71

---

DFT (PBE) results for an optimized crystal structure of TcHgBr.

Lattice parameters (Å, degrees): 3.1089 3.1089 13.1666 90.00 90.00 90.00
With the nearest neighbours (Å) after each atom.
Space group I4mm (No. 107)
One atom of each set of equivalent atoms:
Tc  0.0000  0.0000  0.0000 [2 per cell]  4 Br 2.59
Hg  0.0000  0.0000  0.3438 [2 per cell]  4 Tc 3.01, 4 Hg 3.11
Br  0.0000  0.0000  0.6041 [2 per cell]  4 Tc 2.59

---

DFT (PBE) results for an optimized crystal structure of Tc3HgBr.

Lattice parameters (Å, degrees): 4.5849 4.5849 4.5849 90.00 90.00 90.00
With the nearest neighbours (Å) after each atom.
Space group Pm-3m (No. 221)
One atom of each set of equivalent atoms:
Tc  0.0000  0.0000  0.5000 [3 per cell]  2 Br 2.29
Hg  0.5000  0.5000  0.5000 [1 per cell]  12 Tc 3.24
Br  0.0000  0.0000  0.0000 [1 per cell]  6 Tc 2.29

---

DFT (PBE) results for an optimized crystal structure of TcHg2Br.

Lattice parameters (Å, degrees): 3.3192 4.8220 5.8700 90.00 90.00 90.00
With the nearest neighbours (Å) after each atom.
Space group Pmmm (No. 47)
One atom of each set of equivalent atoms:
Tc  0.0000  0.0000  0.0000 [1 per cell]  4 Br 2.93
Hg  0.0000  0.5000  0.5000 [1 per cell]  4 Hg 2.93
Hg  0.5000  0.0000  0.5000 [1 per cell]  4 Hg 2.93
Br  0.5000  0.5000  0.0000 [1 per cell]  4 Tc 2.93

---

no.,uncorrected formation energy (kJ/mol of atoms),E above lowest polymorph (kJ/mol of formula units),calculated total energy (eV/atom)
1,62.6,225,-2.855
2,30.0,95,-3.193
3,86.9,120,-3.212
4,63.6,230,-2.844
5,51.8,83,-2.624
6,57.4,31,-3.519
7,147.6,0,-5.084
8,67.7,146,-2.459